1.
Density functional theory data (GGA-PBE) for an optimized crystal structure of La4DyTm5.

The value obtained for the calculated density is 7.500 g cm⁻³. For the total energy, the calculation gives -4.436 eV/atom. The relative energy among the computed polymorphs comes out at 31 meV per atom. As for the formation energy: 2.31 eV/f.u.

The structure belongs to space group I4mm (No. 107); the cell edges are 10.7821, 10.7821 and 5.9524 Å and the angles 90.00°, 90.00° and 90.00°. The asymmetric unit holds La at (0.0000, 0.3217, 0.0000), Dy at (0.0000, 0.0000, 0.7502), Tm at (0.0000, 0.0000, 0.2330) and Tm at (0.1883, 0.1883, 0.4902).


2.
Density functional theory data (GGA-PBE) for an optimized crystal structure of La5YEr2Tm.

The value obtained for the calculated density is 6.732 g cm⁻³. For the total energy, the calculation gives -4.832 eV/atom. As for the formation energy: 1.21 eV/f.u.

The structure belongs to space group Cmc2_1 (No. 36); the cell edges are 5.6519, 20.8083 and 10.7970 Å and the angles 90.00°, 90.00° and 90.00°. The asymmetric unit holds La at (0.0000, 0.0095, 0.0000), La at (0.0000, 0.1206, 0.2685), La at (0.0000, 0.2054, 0.9616), La at (0.0000, 0.2228, 0.5715), La at (0.0000, 0.4870, 0.2609), Y at (0.0000, 0.3028, 0.2666), Er at (0.0000, 0.3849, 0.9950), Er at (0.0000, 0.3882, 0.5450) and Tm at (0.0000, 0.0965, 0.7293).